No. 1
Here is CoNi2 after structural relaxation from the Alexandria database. Energies are from PBE-GGA.

```
CoNi2
1.0
-1.3180 -4.0858 0.5210
1.2560 -0.1333 2.1323
-4.4808 3.3165 2.8466
Ni Co
4 2
Direct
0.7986 0.5000 0.3379
0.2994 0.0000 0.3401
0.7437 0.0000 0.6731
0.0213 0.5000 0.0046
0.5200 0.0000 0.0023
0.2438 0.5000 0.6750
```

## Properties
Raw total energy: -6.21 eV/atom

***

No. 2
Here is CoNi2 after structural relaxation from the Alexandria database. Energies are from PBE-GGA.

```
CoNi2
1.0
4.3643 -0.0174 0.0000
2.4019 3.6440 0.0000
-3.3831 -1.8133 2.0771
Co Ni
1 2
Direct
0.0000 0.0000 0.0000
0.3337 0.3337 0.0000
0.6663 0.6663 0.0000
```

## Properties
Raw total energy: -6.13 eV/atom

***

No. 3
Here is Co3Ni after structural relaxation from the Alexandria database. Energies are from PBE-GGA.

```
Co3Ni
1.0
4.3339 0.0000 0.0000
0.0000 4.3339 0.0000
0.0000 0.0000 4.3339
Co Ni
3 1
Direct
0.0000 0.0000 0.5000
0.0000 0.5000 0.0000
0.5000 0.0000 0.0000
0.0000 0.0000 0.0000
```

## Properties
Raw total energy: -5.05 eV/atom

***

No. 4
Here is CoNi5 after structural relaxation from the Alexandria database. Energies are from PBE-GGA.

```
CoNi5
1.0
-1.0996 -5.2673 -3.8120
1.7292 3.4206 5.3660
-3.8248 -0.1737 1.3432
Co Ni
1 5
Direct
0.9992 0.0008 0.0000
0.2230 0.7770 0.5000
0.3337 0.6663 0.0000
0.5562 0.4438 0.5000
0.6652 0.3348 0.0000
0.8895 0.1105 0.5000
```

## Properties
Raw total energy: -5.99 eV/atom

***

No. 5
Here is Co2Ni after structural relaxation from the Alexandria database. Energies are from PBE-GGA.

```
Co2Ni
1.0
2.4896 0.0000 0.0000
-1.2448 2.1561 0.0000
0.0000 0.0000 6.0998
Ni Co
1 2
Direct
0.6667 0.3333 0.3333
0.0000 0.0000 0.9965
0.3333 0.6667 0.6701
```

## Properties
Raw total energy: -6.66 eV/atom

***

No. 6
Here is CoNi3 after structural relaxation from the Alexandria database. Energies are from PBE-GGA.

```
CoNi3
1.0
4.0629 0.0000 0.0000
0.0000 4.9834 -0.0001
0.0000 -2.4918 4.3157
Ni Co
6 2
Direct
0.2500 0.1673 0.8327
0.2500 0.1673 0.3346
0.2500 0.6654 0.8327
0.7500 0.8327 0.1673
0.7500 0.8327 0.6654
0.7500 0.3346 0.1673
0.2500 0.6667 0.3333
0.7500 0.3333 0.6667
```

## Properties
Raw total energy: -6.10 eV/atom